Entry 1:
# ZrAlH

A relaxed structure of ZrAlH (PBE, Alexandria).

Structure (extended XYZ):
```
3
Lattice="4.640 0.000 0.000 0.000 3.295 0.000 0.000 -1.647 2.853" Properties=species:S:1:pos:R:3 pbc="T T T"
H 4.258 0.000 0.000
Al 1.375 0.000 1.902
Zr 3.648 1.647 0.951
```

DFT total energy: -5.60 eV per atom
Space-group type: P3m1 (156)
Fermi-level density of states: 0.13 states/eV/atom
Polymorph energy (0 for the lowest one): 88 meV/atom

Entry 2:
# ZrAlH2

A relaxed structure of ZrAlH2 (PBE, Alexandria).

Structure (extended XYZ):
```
4
Lattice="-3.183 -0.680 2.202 -2.844 -2.360 -1.334 -0.545 -3.535 1.628" Properties=species:S:1:pos:R:3 pbc="T T T"
H -1.643 -1.644 0.624
H -4.929 -4.931 1.872
Al 0.000 0.000 0.000
Zr -3.286 -3.288 1.248
```

DFT total energy: -4.59 eV per atom
Space-group type: Fm-3m (225)
Fermi-level density of states: 0.46 states/eV/atom
Polymorph energy (0 for the lowest one): 287 meV/atom

Entry 3:
# ZrAlH3

A relaxed structure of ZrAlH3 (PBE, Alexandria).

Structure (extended XYZ):
```
5
Lattice="-0.435 3.557 0.072 -3.318 -0.432 1.286 1.285 0.090 3.345" Properties=species:S:1:pos:R:3 pbc="T T T"
H -1.659 -0.216 0.643
H 0.642 0.045 1.672
H -0.218 1.778 0.036
Al 0.000 0.000 0.000
Zr -1.234 1.607 2.351
```

DFT total energy: -4.23 eV per atom
Space-group type: Pm-3m (221)
Fermi-level density of states: 0.30 states/eV/atom